[1]
The following is a GGA-PBE calculation of crystalline CsUPdCl6 at its relaxed geometry, from the Alexandria database.

The space group is P1 (No. 1) and the conventional cell measures 6.601, 6.611 and 7.331 Å, with angles of 101.50, 102.24 and 97.17 degrees. The asymmetric unit holds Cs at (0.000, 0.000, 0.000), U at (0.485, 0.512, 0.503), Pd at (0.819, 0.205, 0.497), Cl at (0.204, 0.595, 0.242), Cl at (0.208, 0.215, 0.531), Cl at (0.395, 0.773, 0.770), Cl at (0.571, 0.253, 0.220), Cl at (0.759, 0.807, 0.474) and Cl at (0.763, 0.433, 0.781).

As for the magnetization: 1.00 μB/f.u. The total DFT energy (no corrections) is -4.624 eV per atom. As for the crystal system: triclinic.

=====

[2]
The following is a GGA-PBE calculation of crystalline CsVPdCl6 at its relaxed geometry, from the Alexandria database.

The space group is P312 (No. 149) and the conventional cell measures 6.4725, 6.4725 and 7.8170 Å, with angles of 90.00, 90.00 and 120.00 degrees. The asymmetric unit holds Cs at (0.0000, 0.0000, 0.0000), V at (0.6667, 0.3333, 0.5000), Pd at (0.3333, 0.6667, 0.5000) and Cl at (0.3784, 0.0165, 0.6765).

As for the magnetization: 3.95 μB/f.u. The total DFT energy (no corrections) is -4.014 eV per atom. As for the crystal system: trigonal.

=====

[3]
The following is a GGA-PBE calculation of crystalline Cs2PdWCl6 at its relaxed geometry, from the Alexandria database.

The space group is I4/mmm (No. 139) and the conventional cell measures 7.135, 7.135 and 11.308 Å, with angles of 90.00, 90.00 and 90.00 degrees. The asymmetric unit holds Cs at (0.000, 0.500, 0.250), Pd at (0.000, 0.000, 0.000), W at (0.000, 0.000, 0.500), Cl at (0.000, 0.000, 0.285) and Cl at (0.242, 0.242, 0.500).

As for the magnetization: 2.67 μB/f.u. The total DFT energy (no corrections) is -4.148 eV per atom. As for the crystal system: tetragonal.

=====

[4]
The following is a GGA-PBE calculation of crystalline Cs2YPdCl at its relaxed geometry, from the Alexandria database.

The space group is P4/mmm (No. 123) and the conventional cell measures 6.467, 6.467 and 5.343 Å, with angles of 90.00, 90.00 and 90.00 degrees. The asymmetric unit holds Cs at (0.000, 0.500, 0.000), Y at (0.000, 0.000, 0.500), Pd at (0.500, 0.500, 0.500) and Cl at (0.000, 0.000, 0.000).

As for the magnetization: 0.60 μB/f.u. The total DFT energy (no corrections) is -3.084 eV per atom. As for the crystal system: tetragonal.

=====

[5]
The following is a GGA-PBE calculation of crystalline CsZn2PdCl8 at its relaxed geometry, from the Alexandria database.

The space group is R-3 (No. 148, hexagonal axes) and the conventional cell measures 6.2524, 6.2524 and 31.5362 Å, with angles of 90.00, 90.00 and 120.00 degrees. The asymmetric unit holds Cs at (0.0000, 0.0000, 0.0000), Zn at (0.0000, 0.0000, 0.2333), Pd at (0.0000, 0.0000, 0.5000), Cl at (0.0000, 0.0000, 0.3043) and Cl at (0.0094, 0.3602, 0.2124).

As for the magnetization: 1.04 μB/f.u. The total DFT energy (no corrections) is -2.950 eV per atom. As for the crystal system: trigonal.

=====

[6]
The following is a GGA-PBE calculation of crystalline Cs2ZnPdCl6 at its relaxed geometry, from the Alexandria database.

The space group is R-3m (No. 166, hexagonal axes) and the conventional cell measures 7.3208, 7.3208 and 36.3571 Å, with angles of 90.00, 90.00 and 120.00 degrees. The asymmetric unit holds Cs at (0.0000, 0.0000, 0.1240), Cs at (0.0000, 0.0000, 0.2930), Zn at (0.0000, 0.0000, 0.4113), Pd at (0.0000, 0.0000, 0.0000), Pd at (0.0000, 0.0000, 0.5000), Cl at (0.0022, 0.5011, 0.2918) and Cl at (0.0263, 0.5132, 0.1229).

As for the magnetization: 1.78 μB/f.u. The total DFT energy (no corrections) is -3.156 eV per atom. As for the crystal system: trigonal. As for the distance to the lowest polymorph of the same formula: 0.000 eV per atom.

=====

Record order is preserved below.
E_form (uncorrected): -1.467; -1.098; -1.055; -0.042; -1.003; -1.231 eV/atom